[1]
# TeOsF2

A relaxed TeOsF2 crystal (PBE-GGA, Alexandria).

Structure (POSCAR):
```
TeOsF2
1.0
6.136 -7.882 2.199
7.990 -5.745 2.789
6.122 -6.636 4.806
Te Os F
1 1 2
Direct
0.500 0.500 0.500
0.000 0.000 0.000
0.937 0.937 0.937
0.063 0.063 0.063
```

Output
- Symmetry: R-3m
- Raw formation energy: -0.55 eV per atom
- Crystal system: trigonal



[2]
# Ac2MgP3Pd4

A relaxed Ac2MgP3Pd4 crystal (PBE-GGA, Alexandria).

Structure (POSCAR):
```
Ac2MgP3Pd4
1.0
-4.092 -0.379 -1.277
-0.850 -2.433 3.447
-2.518 8.667 5.497
Ac Mg P Pd
2 1 3 4
Direct
0.500 0.000 0.235
0.000 0.500 0.765
0.500 0.500 0.500
0.000 0.000 0.500
0.500 0.000 0.869
0.000 0.500 0.131
0.500 0.500 0.000
0.000 0.000 0.000
0.500 0.000 0.637
0.000 0.500 0.363
```

Output
- Formation energy: -913 meV/atom
- Symmetry: P-4m2
- Crystal system: tetragonal



[3]
# Li5ErMg7

A relaxed Li5ErMg7 crystal (PBE-GGA, Alexandria).

Structure (POSCAR):
```
Li5ErMg7
1.0
5.005 0.000 2.055
2.496 7.215 1.042
-0.238 0.039 7.701
Li Er Mg
5 1 7
Direct
0.500 0.998 0.502
0.999 0.998 0.502
0.500 0.502 0.998
0.999 0.502 0.998
0.715 0.785 0.785
0.997 0.003 0.003
0.649 0.351 0.351
0.348 0.652 0.652
0.000 0.350 0.650
0.000 0.650 0.350
0.288 0.212 0.212
0.502 0.793 0.204
0.502 0.204 0.793
```

Output
- Formation energy: -20 meV/atom
- Symmetry: Imm2
- Crystal system: orthorhombic



[4]
# CdAgAs2

A relaxed CdAgAs2 crystal (PBE-GGA, Alexandria).

Structure (POSCAR):
```
CdAgAs2
1.0
-1.699 0.865 -4.891
1.907 -3.800 -3.079
-2.605 -0.246 4.551
As Ag Cd
2 1 1
Direct
0.000 0.000 0.000
0.500 0.500 0.000
0.750 0.250 0.500
0.250 0.750 0.500
```

Output
- Formation energy: 237 meV/atom
- Symmetry: I4/mmm
- Crystal system: tetragonal



Volume (computed, A^3/atom): 18.24, 19.57, 21.66, 20.20